First-principles (PBE-GGA) data for crystalline PrHo3Ni2 at its relaxed geometry, as listed in Alexandria.

Unit cell a=4.048 b=8.267 c=9.914 alpha=87.62 beta=78.22 gamma=75.83
Atoms (fractional coordinates):
Pr (0.391, 0.479, 0.739)
Pr (0.609, 0.521, 0.261)
Ho (0.050, 0.103, 0.798)
Ho (0.950, 0.897, 0.202)
Ho (0.647, 0.776, 0.931)
Ho (0.353, 0.224, 0.069)
Ho (0.809, 0.822, 0.561)
Ho (0.191, 0.178, 0.439)
Ni (0.811, 0.423, 0.955)
Ni (0.189, 0.577, 0.045)
Ni (0.612, 0.153, 0.622)
Ni (0.388, 0.847, 0.378)

**Symmetry**: C2/m, No. 12
**Energy relative to the elements**: -0.22 eV per atom



First-principles (PBE-GGA) data for crystalline Ba2In2Ag at its relaxed geometry, as listed in Alexandria.

Unit cell a=5.274 b=6.536 c=11.445 alpha=84.64 beta=76.68 gamma=66.21
Atoms (fractional coordinates):
Ba (0.682, 0.303, 0.333)
Ba (0.914, 0.286, 0.885)
Ba (0.318, 0.697, 0.667)
Ba (0.086, 0.714, 0.115)
In (0.089, 0.263, 0.559)
In (0.617, 0.881, 0.885)
In (0.911, 0.737, 0.441)
In (0.383, 0.119, 0.115)
Ag (0.627, 0.099, 0.648)
Ag (0.373, 0.901, 0.352)

**Relative energy among the computed polymorphs**: 0.004 eV/atom
**Symmetry**: C2/m, No. 12
**Energy relative to the elements**: -0.35 eV per atom



First-principles (PBE-GGA) data for crystalline Dy2SiNi at its relaxed geometry, as listed in Alexandria.

Unit cell a=3.585 b=4.790 c=4.790 alpha=90.00 beta=90.00 gamma=90.00
Atoms (fractional coordinates):
Ni (0.500, 0.500, 0.500)
Si (0.500, 0.000, 0.000)
Dy (0.000, 0.000, 0.500)
Dy (0.000, 0.500, 0.000)

**Relative energy among the computed polymorphs**: 0.183 eV/atom
**Symmetry**: P4/mmm, No. 123
**E_form (uncorrected)**: -0.457 eV per atom



First-principles (PBE-GGA) data for crystalline Ac2Mg6CdIn at its relaxed geometry, as listed in Alexandria.

Unit cell a=8.022 b=7.412 c=10.044 alpha=90.00 beta=90.00 gamma=90.00
Atoms (fractional coordinates):
Ac (0.500, 0.732, 0.260)
Ac (0.000, 0.268, 0.760)
Ac (0.500, 0.732, 0.740)
Ac (0.000, 0.268, 0.240)
Mg (0.500, 0.231, 0.250)
Mg (0.500, 0.231, 0.750)
Mg (0.000, 0.769, 0.250)
Mg (0.000, 0.769, 0.750)
Mg (0.178, 0.953, 0.500)
Mg (0.822, 0.953, 0.500)
Mg (0.314, 0.402, 0.500)
Mg (0.686, 0.402, 0.500)
Mg (0.814, 0.598, 0.000)
Mg (0.186, 0.598, 0.000)
Mg (0.322, 0.047, 0.000)
Mg (0.678, 0.047, 0.000)
Cd (0.500, 0.054, 0.500)
Cd (0.000, 0.946, 0.000)
In (0.000, 0.578, 0.500)
In (0.500, 0.422, 0.000)

**Symmetry**: Pmmn, No. 59
**Energy relative to the elements**: -0.03 eV per atom



First-principles (PBE-GGA) data for crystalline AcNd4Bi2 at its relaxed geometry, as listed in Alexandria.

Unit cell a=5.926 b=5.926 c=9.301 alpha=108.57 beta=108.57 gamma=90.00
Atoms (fractional coordinates):
Ac (0.000, 0.000, 0.000)
Nd (0.811, 0.811, 0.623)
Nd (0.189, 0.189, 0.377)
Nd (0.000, 0.500, 0.000)
Nd (0.500, 0.000, 0.000)
Bi (0.625, 0.625, 0.250)
Bi (0.375, 0.375, 0.750)

**Symmetry**: I4/mmm, No. 139
**Energy relative to the elements**: 0.41 eV per atom



First-principles (PBE-GGA) data for crystalline KMg4In8 at its relaxed geometry, as listed in Alexandria.

Unit cell a=6.205 b=8.038 c=8.038 alpha=81.43 beta=67.29 gamma=67.29
Atoms (fractional coordinates):
K (0.000, 0.000, 0.000)
Mg (0.000, 0.000, 0.500)
Mg (0.500, 0.000, 0.500)
Mg (0.000, 0.500, 0.000)
Mg (0.500, 0.500, 0.000)
In (0.000, 0.347, 0.653)
In (0.000, 0.653, 0.347)
In (0.347, 0.653, 0.653)
In (0.653, 0.347, 0.347)
In (0.500, 0.780, 0.220)
In (0.500, 0.220, 0.780)
In (0.280, 0.220, 0.220)
In (0.720, 0.780, 0.780)

**Relative energy among the computed polymorphs**: 0.000 eV/atom
**Symmetry**: I4/mmm, No. 139
**Energy relative to the elements**: -0.08 eV per atom



First-principles (PBE-GGA) data for crystalline TbGePd5 at its relaxed geometry, as listed in Alexandria.

Unit cell a=4.085 b=4.085 c=7.226 alpha=90.00 beta=90.00 gamma=90.00
Atoms (fractional coordinates):
Tb (0.000, 0.000, 0.500)
Ge (0.500, 0.500, 0.000)
Pd (0.000, 0.500, 0.794)
Pd (0.000, 0.500, 0.206)
Pd (0.500, 0.000, 0.794)
Pd (0.500, 0.000, 0.206)
Pd (0.500, 0.500, 0.500)

**Symmetry**: P4/mmm, No. 123
**Energy relative to the elements**: -0.74 eV per atom



First-principles (PBE-GGA) data for crystalline Sr2WBr at its relaxed geometry, as listed in Alexandria.

Unit cell a=4.554 b=4.554 c=6.489 alpha=90.00 beta=90.00 gamma=90.00
Last column: magnetic moment on the atom in μB.
Atoms (fractional coordinates):
Sr (0.000, 0.000, 0.896)  0.01
Sr (0.500, 0.500, 0.356)  0.05
Br (0.500, 0.500, 0.860)  0.01
W (0.000, 0.000, 0.389)  2.48

**Relative energy among the computed polymorphs**: 0.314 eV/atom
**Symmetry**: P4mm, No. 99
**E_form (uncorrected)**: 0.488 eV per atom



First-principles (PBE-GGA) data for crystalline LaLuPb at its relaxed geometry, as listed in Alexandria.

Unit cell a=4.269 b=5.145 c=5.145 alpha=120.00 beta=90.00 gamma=90.00
Atoms (fractional coordinates):
Pb (0.167, 0.000, 0.000)
Lu (0.166, 0.667, 0.333)
La (0.666, 0.333, 0.667)

**Relative energy among the computed polymorphs**: 0.000 eV/atom
**Symmetry**: P-6m2, No. 187
**Energy relative to the elements**: -0.29 eV per atom



First-principles (PBE-GGA) data for crystalline ScPaSbC at its relaxed geometry, as listed in Alexandria.

Unit cell a=4.400 b=4.400 c=8.863 alpha=90.00 beta=90.00 gamma=90.00
Atoms (fractional coordinates):
Sc (0.000, 0.000, 0.500)
Sc (0.500, 0.500, 0.500)
Pa (0.500, 0.000, 0.824)
Pa (0.000, 0.500, 0.176)
Sb (0.000, 0.500, 0.803)
Sb (0.500, 0.000, 0.197)
C (0.000, 0.500, 0.417)
C (0.500, 0.000, 0.583)

**Symmetry**: P4/nmm, No. 129
**E_form (uncorrected)**: -0.565 eV per atom



First-principles (PBE-GGA) data for crystalline Cu2BPd4 at its relaxed geometry, as listed in Alexandria.

Unit cell a=2.845 b=4.981 c=7.297 alpha=109.46 beta=101.24 gamma=90.00
Atoms (fractional coordinates):
Cu (0.749, 0.762, 0.498)
Cu (0.251, 0.238, 0.502)
B (0.000, 0.000, 0.000)
Pd (0.909, 0.245, 0.818)
Pd (0.091, 0.755, 0.182)
Pd (0.597, 0.273, 0.194)
Pd (0.403, 0.727, 0.806)

**Symmetry**: C2/m, No. 12
**Energy relative to the elements**: -0.14 eV per atom



First-principles (PBE-GGA) data for crystalline BiSb2TeMo at its relaxed geometry, as listed in Alexandria.

Unit cell a=5.330 b=5.330 c=5.175 alpha=90.00 beta=90.00 gamma=90.00
Atoms (fractional coordinates):
Sb (0.000, 0.500, 0.000)
Sb (0.500, 0.000, 0.000)
Mo (0.000, 0.000, 0.000)
Te (0.000, 0.000, 0.500)
Bi (0.500, 0.500, 0.500)

**Relative energy among the computed polymorphs**: 0.000 eV/atom
**Symmetry**: P4/mmm, No. 123
**E_form (uncorrected)**: 0.486 eV per atom



First-principles (PBE-GGA) data for crystalline Li2TlRh at its relaxed geometry, as listed in Alexandria.

Unit cell a=3.320 b=4.435 c=4.439 alpha=90.00 beta=90.00 gamma=90.00
Atoms (fractional coordinates):
Tl (0.000, 0.500, 0.500)
Rh (0.500, 0.000, 0.500)
Li (0.000, 0.000, 0.000)
Li (0.500, 0.500, 0.000)

**Symmetry**: Pmmm, No. 47
**Energy relative to the elements**: -0.18 eV per atom



no.,total magnetic moment (μB/cell),Fermi-level density of states (states/eV per atom)
1,0.00,0.854
2,0.00,0.860
3,0.00,0.675
4,0.00,0.842
5,0.00,1.527
6,0.00,0.382
7,0.00,0.196
8,3.35,1.038
9,0.00,0.446
10,0.00,0.863
11,0.00,0.344
12,0.00,1.089
13,0.00,0.480